# 1
Computed, not measured: a geometry-optimized SiPb2Se structure at the PBE-GGA level of DFT.

Properties
Symmetry: R3m
Theoretical density, g/cm³: 8.13
E_form (uncorrected), meV per atom: 68

a b c (Å): 10.0950 10.0950 10.0950
angles (deg): 20.11 20.11 20.11
Closest atoms and distances in Å follow each position.
Atoms (fractional coordinates):
Si  0.0000  0.0000  0.0000  3 Se 2.48
Pb  0.5185  0.5185  0.5185  9 Pb 3.53-3.66, 3 Se 3.60
Pb  0.7491  0.7491  0.7491  3 Si 3.18, 6 Pb 3.53
Se  0.2853  0.2853  0.2853  3 Si 2.48

***

# 2
Computed, not measured: a geometry-optimized Be2FeSb structure at the PBE-GGA level of DFT.

Properties
Symmetry: I-42d
Theoretical density, g/cm³: 5.53
E_form (uncorrected), meV per atom: 483

a b c (Å): 8.4636 8.4636 8.4636
angles (deg): 153.85 153.85 37.32
Closest atoms and distances in Å follow each position.
Atoms (fractional coordinates):
Be  0.0007  0.6250  0.8757  2 Be 2.14, 2 Fe 2.27
Be  0.3750  0.2507  0.3757  2 Be 2.14, 2 Fe 2.27
Be  0.7493  0.1250  0.1243  2 Be 2.14, 2 Fe 2.27
Be  0.8750  0.9993  0.6243  2 Be 2.14, 2 Fe 2.27
Fe  0.0000  0.0000  0.0000  4 Be 2.27
Fe  0.7500  0.2500  0.5000  4 Be 2.27
Sb  0.2500  0.7500  0.5000  4 Be 2.64, 4 Fe 2.71
Sb  0.5000  0.5000  0.0000  4 Be 2.64, 4 Fe 2.71

***

# 3
Computed, not measured: a geometry-optimized TcAg2W structure at the PBE-GGA level of DFT.

Properties
Symmetry: I-4m2
Theoretical density, g/cm³: 12.80
Energy of formation from the pure elements, eV/atom: 0.638

a b c (Å): 4.8281 4.8281 4.8281
angles (deg): 129.96 129.96 73.47
Closest atoms and distances in Å follow each position.
Atoms (fractional coordinates):
Tc  0.0000  0.0000  0.0000  4 W 2.81, 8 Ag 2.81-2.89
Ag  0.5000  0.5000  0.0000  4 W 2.81, 4 Ag 2.81, 4 Tc 2.89
Ag  0.7500  0.2500  0.5000  4 Tc 2.81, 4 Ag 2.81, 4 W 2.89
W  0.2500  0.7500  0.5000  4 Tc 2.81, 8 Ag 2.81-2.89